No. 1
SmY5HoTh2 | PBE | optimized geometry

Cell and atoms, written as POSCAR:
```
SmY5HoTh2
1.0
-6.390 2.044 -5.643
5.464 -1.429 -6.705
-1.743 -7.772 5.968
Sm Y Ho Th
2 10 2 4
direct
0.250 0.750 0.500
0.750 0.250 0.500
0.930 0.430 0.279
0.652 0.152 0.721
0.070 0.570 0.721
0.152 0.070 0.721
0.570 0.652 0.721
0.848 0.930 0.279
0.430 0.348 0.279
0.348 0.848 0.279
0.500 0.500 0.000
0.000 0.000 0.000
0.250 0.250 0.500
0.750 0.750 0.500
0.119 0.381 0.000
0.619 0.119 0.000
0.381 0.881 0.000
0.881 0.619 0.000
```

energy of formation: 0.33 eV/atom
raw total energy: -5.95 eV per atom
space-group type: I4/mcm, No. 140

No. 2
SmY6Ho2Th3 | PBE | optimized geometry

Cell and atoms, written as POSCAR:
```
SmY6Ho2Th3
1.0
-0.938 -2.094 5.760
3.372 -3.331 -3.998
8.775 7.263 2.955
Sm Y Ho Th
1 6 2 3
direct
0.000 0.000 0.000
0.915 0.582 0.746
0.751 0.751 0.254
0.085 0.418 0.254
0.582 0.915 0.746
0.249 0.249 0.746
0.418 0.085 0.254
0.333 0.667 0.000
0.667 0.333 0.000
0.166 0.834 0.500
0.834 0.166 0.500
0.500 0.500 0.500
```

energy of formation: 0.02 eV/atom
raw total energy: -6.22 eV per atom
space-group type: C2/m, No. 12

No. 3
Sm2YHo5Th | PBE | optimized geometry

Cell and atoms, written as POSCAR:
```
Sm2YHo5Th
1.0
8.724 0.000 0.000
0.000 8.724 0.000
-4.362 -4.362 7.612
Sm Y Ho Th
4 2 10 2
direct
0.115 0.385 0.000
0.615 0.115 0.000
0.385 0.885 0.000
0.885 0.615 0.000
0.250 0.750 0.500
0.750 0.250 0.500
0.926 0.426 0.277
0.649 0.149 0.723
0.074 0.574 0.723
0.149 0.074 0.723
0.574 0.649 0.723
0.851 0.926 0.277
0.426 0.351 0.277
0.351 0.851 0.277
0.500 0.500 0.000
0.000 0.000 0.000
0.250 0.250 0.500
0.750 0.750 0.500
```

energy of formation: 0.30 eV/atom
raw total energy: -4.83 eV per atom
space-group type: I4/mcm, No. 140

No. 4
SmYHoTh2 | PBE | optimized geometry

Cell and atoms, written as POSCAR:
```
SmYHoTh2
1.0
-1.376 4.730 -4.506
-5.329 1.851 3.569
7.101 4.162 2.201
Sm Y Ho Th
2 2 2 4
direct
0.750 0.747 0.495
0.250 0.253 0.505
0.250 0.652 0.305
0.750 0.348 0.695
0.250 0.850 0.699
0.750 0.150 0.301
0.500 0.250 0.000
0.000 0.750 0.000
0.500 0.750 0.000
0.000 0.250 0.000
```

energy of formation: 0.40 eV/atom
raw total energy: -5.72 eV per atom
space-group type: Cmcm, No. 63

The lowest raw total energy belongs to which entry?
SmY6Ho2Th3

Number 1 is which compound?
SmY5HoTh2

Number 1 is which compound?
SmY5HoTh2

What is the raw total energy in the second record?
-6.22 eV per atom